Here is ErOsCl after structural relaxation from Alexandria. Energies are from PBE-GGA.

As for the formation energy from raw total energies: -0.943 eV per atom.

The space group is C2/m (No. 12) and the conventional cell measures 6.818, 3.934 and 11.986 Å, with angles of 90.00, 99.76 and 90.00 degrees. The asymmetric unit holds Er at (0.104, 0.000, 0.290), Os at (0.177, 0.000, 0.534) and Cl at (0.104, 0.500, 0.848).

Here is K2TlPdO4 after structural relaxation from Alexandria. Energies are from PBE-GGA.

As for the formation energy from raw total energies: -0.866 eV per atom.

The space group is P2/m (No. 10) and the conventional cell measures 6.154, 3.303 and 6.443 Å, with angles of 90.00, 110.14 and 90.00 degrees. The asymmetric unit holds K at (0.000, 0.000, 0.000), K at (0.500, 0.500, 0.000), Tl at (0.000, 0.500, 0.500), Pd at (0.500, 0.000, 0.500), O at (0.226, 0.000, 0.705) and O at (0.302, 0.500, 0.326).

Here is Cr2ReOs after structural relaxation from Alexandria. Energies are from PBE-GGA.

Its energy of formation is 0.191 eV/atom.

The space group is P2/m (No. 10) and the conventional cell measures 2.637, 4.129 and 5.015 Å, with angles of 90.00, 99.42 and 90.00 degrees. The asymmetric unit holds Cr at (0.182, 0.000, 0.243), Re at (0.000, 0.500, 0.500) and Os at (0.500, 0.500, 0.000).

Here is Mn3HOs after structural relaxation from Alexandria. Energies are from PBE-GGA.

Its energy above the most stable polymorph in this dataset is 1700 meV/atom.

The space group is Pm-3m (No. 221) and the conventional cell measures 4.780, 4.780 and 4.780 Å, with angles of 90.00, 90.00 and 90.00 degrees. The asymmetric unit holds Mn at (0.000, 0.000, 0.500), H at (0.500, 0.500, 0.500) and Os at (0.000, 0.000, 0.000).

Here is CrCuRu2 after structural relaxation from Alexandria. Energies are from PBE-GGA.

Its energy of formation is 0.419 eV/atom.

The space group is Cmm2 (No. 35) and the conventional cell measures 2.755, 4.377 and 8.873 Å, with angles of 90.00, 90.00 and 90.00 degrees. The asymmetric unit holds Cr at (0.000, 0.000, 0.000), Cu at (0.000, 0.500, 0.243), Ru at (0.000, 0.000, 0.498) and Ru at (0.000, 0.500, 0.764).

Here is TeP after structural relaxation from Alexandria. Energies are from PBE-GGA.

As for the formation energy from raw total energies: 0.536 eV per atom.

The space group is I-43m (No. 217) and the conventional cell measures 9.646, 9.646 and 9.646 Å, with angles of 90.00, 90.00 and 90.00 degrees. The asymmetric unit holds Te at (0.138, 0.138, 0.862) and P at (0.133, 0.133, 0.133).

Here is NpGeBi2 after structural relaxation from Alexandria. Energies are from PBE-GGA.

Its energy of formation is 0.116 eV/atom. Its energy above the most stable polymorph in this dataset is 76 meV/atom.

The space group is P4/mmm (No. 123) and the conventional cell measures 4.162, 4.162 and 6.259 Å, with angles of 90.00, 90.00 and 90.00 degrees. The asymmetric unit holds Np at (0.000, 0.000, 0.000), Ge at (0.000, 0.000, 0.500) and Bi at (0.500, 0.500, 0.252).

Here is NbTeI2N after structural relaxation from Alexandria. Energies are from PBE-GGA.

As for the formation energy from raw total energies: 0.276 eV per atom. Its energy above the most stable polymorph in this dataset is 0 meV/atom.

The space group is P4/mmm (No. 123) and the conventional cell measures 5.801, 5.801 and 3.942 Å, with angles of 90.00, 90.00 and 90.00 degrees. The asymmetric unit holds Nb at (0.000, 0.000, 0.000), Te at (0.500, 0.500, 0.500), I at (0.000, 0.500, 0.000) and N at (0.000, 0.000, 0.500).

In the order shown, the computed magnetic moment values come out to 0.00; 0.13; 0.00; 2.36; 0.05; 0.23; 1.07; 0.09 μB per atom.